[1]
VASP calculation (PBE) on a relaxed La3Pr6Ho crystal.

As for the energy relative to the lowest polymorph listed for this composition: 0.000 eV/atom. The spin magnetization comes out at 0.000 μB/atom. The value obtained for the density of states at the Fermi level is 14.2 states/eV/f.u. For the formation energy from the elements, the calculation gives 15.6 kJ/mol of atoms.

Cell lengths 13.7014, 16.5254, 6.4376 Å; angles 90.00, 90.00, 90.00 degrees
Space group Cmc2_1 (No. 36)
Unique sites:
La (0.0000, 0.1361, 0.0000) (multiplicity 4)
La (0.2067, 0.4284, 0.3639) (multiplicity 8)
Pr (0.0000, 0.2421, 0.5239) (multiplicity 4)
Pr (0.0000, 0.4393, 0.6359) (multiplicity 4)
Pr (0.1197, 0.0595, 0.4822) (multiplicity 8)
Pr (0.2244, 0.2902, 0.8131) (multiplicity 8)
Ho (0.0000, 0.3473, 0.0878) (multiplicity 4)

[2]
VASP calculation (PBE) on a relaxed PrPu3Ru3 crystal.

The spin magnetization comes out at 2.065 μB/atom. The value obtained for the density of states at the Fermi level is 12.9 states/eV/f.u. For the formation energy from the elements, the calculation gives 43.5 kJ/mol of atoms.

Cell lengths 7.2144, 7.2144, 7.2144 Å; angles 90.00, 90.00, 90.00 degrees
Space group Pm-3n (No. 223)
Unique sites:
Pr (0.0000, 0.0000, 0.0000) (multiplicity 2)
Pu (0.0000, 0.2500, 0.5000) (multiplicity 6)
Ru (0.0000, 0.5000, 0.2500) (multiplicity 6)

[3]
VASP calculation (PBE) on a relaxed Nd5MgTl8 crystal.

The spin magnetization comes out at 0.000 μB/atom. The value obtained for the density of states at the Fermi level is 10.1 states/eV/f.u. For the formation energy from the elements, the calculation gives -23.6 kJ/mol of atoms.

Cell lengths 9.5225, 9.5225, 9.2419 Å; angles 90.00, 90.00, 90.00 degrees
Space group I-4 (No. 82)
Unique sites:
Nd (0.0000, 0.0000, 0.0000) (multiplicity 2)
Nd (0.1139, 0.7488, 0.6373) (multiplicity 8)
Mg (0.0000, 0.5000, 0.2500) (multiplicity 2)
Tl (0.0767, 0.6655, 0.9797) (multiplicity 8)
Tl (0.0781, 0.8161, 0.2942) (multiplicity 8)

[4]
VASP calculation (PBE) on a relaxed YBi2Ir crystal.

As for the energy relative to the lowest polymorph listed for this composition: 0.000 eV/atom. The spin magnetization comes out at 0.000 μB/atom. The value obtained for the density of states at the Fermi level is 5.7 states/eV/f.u. For the formation energy from the elements, the calculation gives -0.1 kJ/mol of atoms.

Cell lengths 7.2781, 7.2781, 7.2781 Å; angles 90.00, 90.00, 90.00 degrees
Space group Fm-3m (No. 225)
Unique sites:
Y (0.0000, 0.0000, 0.0000) (multiplicity 4)
Bi (0.2500, 0.2500, 0.2500) (multiplicity 8)
Ir (0.0000, 0.0000, 0.5000) (multiplicity 4)

[5]
VASP calculation (PBE) on a relaxed Sr2Bi3Rh4Pb crystal.

The spin magnetization comes out at 0.000 μB/atom. The value obtained for the density of states at the Fermi level is 9.0 states/eV/f.u. For the formation energy from the elements, the calculation gives -38.1 kJ/mol of atoms.

Cell lengths 4.6841, 4.6841, 11.1773 Å; angles 90.00, 90.00, 90.00 degrees
Space group P-4m2 (No. 115)
Unique sites:
Sr (0.0000, 0.5000, 0.2460) (multiplicity 2)
Bi (0.0000, 0.5000, 0.8727) (multiplicity 2)
Bi (0.5000, 0.5000, 0.5000) (multiplicity 1)
Rh (0.0000, 0.0000, 0.0000) (multiplicity 1)
Rh (0.0000, 0.5000, 0.6325) (multiplicity 2)
Rh (0.5000, 0.5000, 0.0000) (multiplicity 1)
Pb (0.0000, 0.0000, 0.5000) (multiplicity 1)

[6]
VASP calculation (PBE) on a relaxed Zn2CuAg8 crystal.

As for the energy relative to the lowest polymorph listed for this composition: 0.135 eV/atom. The spin magnetization comes out at 0.000 μB/atom. The value obtained for the density of states at the Fermi level is 2.9 states/eV/f.u. For the formation energy from the elements, the calculation gives 15.9 kJ/mol of atoms.

Cell lengths 10.3044, 9.2113, 4.6924 Å; angles 90.00, 106.46, 90.00 degrees
Space group C2/m (No. 12)
Unique sites:
Zn (0.1348, 0.0000, 0.0296) (multiplicity 4)
Cu (0.0000, 0.0000, 0.5000) (multiplicity 2)
Ag (0.0811, 0.5000, 0.7999) (multiplicity 4)
Ag (0.0889, 0.2443, 0.3089) (multiplicity 8)
Ag (0.2379, 0.5000, 0.3938) (multiplicity 4)

[7]
VASP calculation (PBE) on a relaxed Na2NpPb3S6 crystal.

The spin magnetization comes out at 0.250 μB/atom. As for the energy relative to the elements, uncorrected: -0.9121 eV per atom. The value obtained for the density of states at the Fermi level is 5.6 states/eV/f.u.

Cell lengths 7.1807, 12.3770, 7.2051 Å; angles 90.00, 108.77, 90.00 degrees
Space group C2/m (No. 12)
Unique sites:
Na (0.0000, 0.1676, 0.0000) (multiplicity 4)
Np (0.0000, 0.5000, 0.0000) (multiplicity 2)
Pb (0.0000, 0.0000, 0.5000) (multiplicity 2)
Pb (0.0000, 0.3347, 0.5000) (multiplicity 4)
S (0.2279, 0.5000, 0.7541) (multiplicity 4)
S (0.2310, 0.3471, 0.2274) (multiplicity 8)

[8]
VASP calculation (PBE) on a relaxed Hf4GeTe5 crystal.

The spin magnetization comes out at 0.000 μB/atom. As for the energy relative to the elements, uncorrected: -0.7423 eV per atom. The value obtained for the density of states at the Fermi level is 4.8 states/eV/f.u.

Cell lengths 17.4971, 3.9145, 8.1179 Å; angles 90.00, 101.74, 90.00 degrees
Space group C2/m (No. 12)
Unique sites:
Hf (0.0000, 0.0000, 0.2266) (multiplicity 4)
Hf (0.1551, 0.5000, 0.0720) (multiplicity 4)
Ge (0.0000, 0.5000, 0.0000) (multiplicity 2)
Te (0.0000, 0.5000, 0.5000) (multiplicity 2)
Te (0.1662, 0.0000, 0.3355) (multiplicity 4)
Te (0.1708, 0.0000, 0.8143) (multiplicity 4)

[9]
VASP calculation (PBE) on a relaxed CsK3Rb2H6 crystal.

The electronic total energy comes out at -2.36 eV/atom. The spin magnetization comes out at 0.000 μB/atom. The value obtained for the density of states at the Fermi level is 0.0 states/eV/f.u.

Cell lengths 18.1560, 4.1470, 8.3308 Å; angles 90.00, 103.49, 90.00 degrees
Space group C2/m (No. 12)
Unique sites:
Cs (0.0000, 0.0000, 0.0000) (multiplicity 2)
K (0.0000, 0.0000, 0.5000) (multiplicity 2)
K (0.1682, 0.5000, 0.8307) (multiplicity 4)
Rb (0.1673, 0.5000, 0.3357) (multiplicity 4)
H (0.0030, 0.5000, 0.7309) (multiplicity 4)
H (0.1649, 0.0000, 0.5888) (multiplicity 4)
H (0.1733, 0.0000, 0.0792) (multiplicity 4)

[10]
VASP calculation (PBE) on a relaxed CaNdTm crystal.

As for the energy relative to the lowest polymorph listed for this composition: 0.005 eV/atom. The spin magnetization comes out at 0.001 μB/atom. The value obtained for the density of states at the Fermi level is 5.2 states/eV/f.u. For the formation energy from the elements, the calculation gives 5.9 kJ/mol of atoms.

Cell lengths 3.6831, 3.6831, 15.7115 Å; angles 90.00, 90.00, 90.00 degrees
Space group P4/nmm (No. 129, origin choice 2)
Unique sites:
Ca (0.2500, 0.2500, 0.0948) (multiplicity 2)
Nd (0.2500, 0.2500, 0.4152) (multiplicity 2)
Tm (0.2500, 0.2500, 0.7354) (multiplicity 2)

[11]
VASP calculation (PBE) on a relaxed CaZrGa3 crystal.

As for the energy relative to the lowest polymorph listed for this composition: 0.000 eV/atom. The spin magnetization comes out at 0.000 μB/atom. The value obtained for the density of states at the Fermi level is 5.5 states/eV/f.u. For the formation energy from the elements, the calculation gives 5.6 kJ/mol of atoms.

Cell lengths 5.1900, 5.1900, 5.1900 Å; angles 90.00, 90.00, 90.00 degrees
Space group Pm-3m (No. 221)
Unique sites:
Ca (0.0000, 0.0000, 0.0000) (multiplicity 1)
Zr (0.5000, 0.5000, 0.5000) (multiplicity 1)
Ga (0.0000, 0.5000, 0.5000) (multiplicity 3)

[12]
VASP calculation (PBE) on a relaxed HfCd2Ag crystal.

As for the energy relative to the lowest polymorph listed for this composition: 0.379 eV/atom. The spin magnetization comes out at 0.000 μB/atom. The value obtained for the density of states at the Fermi level is 3.3 states/eV/f.u. For the formation energy from the elements, the calculation gives 34.3 kJ/mol of atoms.

Cell lengths 7.8023, 7.8023, 5.8772 Å; angles 90.00, 90.00, 90.00 degrees
Space group I-42d (No. 122)
Unique sites:
Hf (0.0000, 0.0000, 0.0000) (multiplicity 4)
Cd (0.2307, 0.2500, 0.6250) (multiplicity 8)
Ag (0.0000, 0.0000, 0.5000) (multiplicity 4)

[13]
VASP calculation (PBE) on a relaxed La2NdGd crystal.

As for the energy relative to the lowest polymorph listed for this composition: 0.000 eV/atom. The spin magnetization comes out at 1.860 μB/atom. The value obtained for the density of states at the Fermi level is 6.5 states/eV/f.u. For the formation energy from the elements, the calculation gives 1.0 kJ/mol of atoms.

Cell lengths 5.2273, 5.2273, 5.1710 Å; angles 90.00, 90.00, 90.00 degrees
Space group P4/mmm (No. 123)
Unique sites:
La (0.0000, 0.5000, 0.0000) (multiplicity 2)
Nd (0.0000, 0.0000, 0.5000) (multiplicity 1)
Gd (0.5000, 0.5000, 0.5000) (multiplicity 1)

[14]
VASP calculation (PBE) on a relaxed Os4PtSe crystal.

The spin magnetization comes out at 0.000 μB/atom. As for the energy relative to the elements, uncorrected: 1.1070 eV per atom. The value obtained for the density of states at the Fermi level is 8.3 states/eV/f.u.

Cell lengths 7.3316, 7.3316, 7.3316 Å; angles 90.00, 90.00, 90.00 degrees
Space group F-43m (No. 216)
Unique sites:
Os (0.1246, 0.1246, 0.1246) (multiplicity 16)
Pt (0.2500, 0.2500, 0.7500) (multiplicity 4)
Se (0.0000, 0.0000, 0.5000) (multiplicity 4)